Entry 1:
DFT (PBE) results for a relaxed Y2ZrMo crystal.

Geometry as POSCAR:
```
Y2ZrMo
1.0
10.468 -0.036 -0.021
9.953 3.242 -0.021
9.953 1.563 2.841
Y Zr Mo
2 1 1
Direct
0.008 0.008 0.008
0.492 0.492 0.492
0.250 0.250 0.250
0.750 0.750 0.750
```

Calculated values
- size of the total moment (μB per formula unit) = 1.6
- space-group type = No. 166
- N(E_F) (states/eV/f.u.) = 5.19
- E (eV/cell) = -30.481
- volume (Å³ per atom) = 24.53

Entry 2:
DFT (PBE) results for a relaxed CePrZnHg crystal.

Geometry as POSCAR:
```
CePrZnHg
1.0
-2.642 2.617 -0.404
-2.558 -2.375 1.344
1.389 2.490 7.044
Zn Pr Hg Ce
1 1 1 1
Direct
0.000 0.000 0.361
0.500 0.500 0.124
0.000 0.000 0.853
0.500 0.500 0.590
```

Calculated values
- size of the total moment (μB per formula unit) = 1.1
- space-group type = No. 99
- N(E_F) (states/eV/f.u.) = 9.57
- E (eV/cell) = -13.501
- volume (Å³ per atom) = 26.58